Density functional theory data (PBE-GGA) for a geometry-optimized Ba2PtBr structure.

Output
The calculation puts the energy above the lowest structure with this stoichiometry at 217 meV/atom. The value obtained for the uncorrected formation energy is -1.059 eV/atom. The total energy is -3.949 eV/atom.

Cell lengths 5.658, 5.658, 5.658 Å; angles 60.00, 60.00, 60.00 degrees
Positions (direct):
Br (0.000, 0.000, 0.000)
Ba (0.250, 0.250, 0.250)
Ba (0.750, 0.750, 0.750)
Pt (0.500, 0.500, 0.500)